[1]
# CoAsHBr2 GGA-PBE optimized geometry
# DOS at the Fermi energy, states/eV/atom: 1.345
# Size of the total moment, μB/f.u.: 2.107
# Raw total energy, eV/f.u.: -14.6
# Energy relative to the lowest polymorph listed for this composition, meV per atom: 162
# Space-group type: P4/mmm, No. 123
# Volume, Å³ per atom: 18.06
# Crystal system: tetragonal
data_CoAsHBr2
_symmetry_space_group_name_H-M 'P 1'
_symmetry_Int_Tables_number 1
_cell_length_a 5.114
_cell_length_b 5.114
_cell_length_c 3.452
_cell_angle_alpha 90.00
_cell_angle_beta 90.00
_cell_angle_gamma 90.00
loop_
_symmetry_equiv_pos_as_xyz
'x,y,z'
loop_
_atom_site_label
_atom_site_type_symbol
_atom_site_fract_x
_atom_site_fract_y
_atom_site_fract_z
H1 H 0.000 0.000 0.000
As1 As 0.000 0.000 0.500
Co1 Co 0.500 0.500 0.500
Br1 Br 0.000 0.500 0.000
Br2 Br 0.500 0.000 0.000

---

[2]
# HfCoAs2Br GGA-PBE optimized geometry
# DOS at the Fermi energy, states/eV/atom: 1.089
# Size of the total moment, μB/f.u.: 0.219
# Raw total energy, eV/f.u.: -26.2
# Energy relative to the lowest polymorph listed for this composition, meV per atom: 0
# Space-group type: P4/mmm, No. 123
# Formation energy (no corrections), eV per atom: 0.3673
# Volume, Å³ per atom: 19.97
# Crystal system: tetragonal
data_HfCoAs2Br
_symmetry_space_group_name_H-M 'P 1'
_symmetry_Int_Tables_number 1
_cell_length_a 4.572
_cell_length_b 4.572
_cell_length_c 4.776
_cell_angle_alpha 90.00
_cell_angle_beta 90.00
_cell_angle_gamma 90.00
loop_
_symmetry_equiv_pos_as_xyz
'x,y,z'
loop_
_atom_site_label
_atom_site_type_symbol
_atom_site_fract_x
_atom_site_fract_y
_atom_site_fract_z
Co1 Co 0.000 0.000 0.000
As1 As 0.000 0.500 0.000
As2 As 0.500 0.000 0.000
Hf1 Hf 0.500 0.500 0.500
Br1 Br 0.000 0.000 0.500

---

[3]
# HfCoAs2Br GGA-PBE optimized geometry
# DOS at the Fermi energy, states/eV/atom: 1.587
# Size of the total moment, μB/f.u.: 2.651
# Raw total energy, eV/f.u.: -25.1
# Energy relative to the lowest polymorph listed for this composition, meV per atom: 223
# Space-group type: P4/mmm, No. 123
# Formation energy (no corrections), eV per atom: 0.5903
# Volume, Å³ per atom: 27.79
# Crystal system: tetragonal
data_HfCoAs2Br
_symmetry_space_group_name_H-M 'P 1'
_symmetry_Int_Tables_number 1
_cell_length_a 5.184
_cell_length_b 5.184
_cell_length_c 5.171
_cell_angle_alpha 90.00
_cell_angle_beta 90.00
_cell_angle_gamma 90.00
loop_
_symmetry_equiv_pos_as_xyz
'x,y,z'
loop_
_atom_site_label
_atom_site_type_symbol
_atom_site_fract_x
_atom_site_fract_y
_atom_site_fract_z
Co1 Co 0.500 0.500 0.500
As1 As 0.000 0.500 0.000
As2 As 0.500 0.000 0.000
Hf1 Hf 0.000 0.000 0.000
Br1 Br 0.000 0.000 0.500

---

[4]
# CoHgAs2Br GGA-PBE optimized geometry
# DOS at the Fermi energy, states/eV/atom: 0.835
# Size of the total moment, μB/f.u.: 0.000
# Raw total energy, eV/f.u.: -16.8
# Energy relative to the lowest polymorph listed for this composition, meV per atom: 0
# Space-group type: P4/mmm, No. 123
# Formation energy (no corrections), eV per atom: 0.3091
# Volume, Å³ per atom: 22.35
# Crystal system: tetragonal
data_CoHgAs2Br
_symmetry_space_group_name_H-M 'P 1'
_symmetry_Int_Tables_number 1
_cell_length_a 4.560
_cell_length_b 4.560
_cell_length_c 5.373
_cell_angle_alpha 90.00
_cell_angle_beta 90.00
_cell_angle_gamma 90.00
loop_
_symmetry_equiv_pos_as_xyz
'x,y,z'
loop_
_atom_site_label
_atom_site_type_symbol
_atom_site_fract_x
_atom_site_fract_y
_atom_site_fract_z
As1 As 0.000 0.500 0.000
As2 As 0.500 0.000 0.000
Co1 Co 0.000 0.000 0.000
Hg1 Hg 0.500 0.500 0.500
Br1 Br 0.000 0.000 0.500